The following is a DFT calculation (PBEsol) of a geometry-optimized BaZr2Pt structure.

abc: 5.0491 5.0491 3.3388
angles: 90.00 90.00 90.00
Closest atoms and distances in Å follow each position.
Fractional positions:
Ba  0.0000  0.0000  0.0000  8 Zr 3.03, 2 Ba 3.34
Zr  0.0000  0.5000  0.5000  4 Ba 3.03, 4 Pt 3.03, 2 Zr 3.34
Zr  0.5000  0.0000  0.5000  4 Ba 3.03, 4 Pt 3.03, 2 Zr 3.34
Pt  0.5000  0.5000  0.0000  8 Zr 3.03, 2 Pt 3.34

symmetry: P4/mmm
excess energy over the best structure of this formula in the dataset: 0.291 eV per atom

The following is a DFT calculation (PBEsol) of a geometry-optimized SmCdAu structure.

abc: 7.7015 7.7015 3.9602
angles: 90.00 90.00 120.00
Closest atoms and distances in Å follow each position.
Fractional positions:
Sm  0.0000  0.5959  0.0000  5 Au 3.07-3.11, 6 Cd 3.27-3.37
Sm  0.4041  0.4041  0.0000  5 Au 3.07-3.11, 6 Cd 3.27-3.37
Sm  0.5959  0.0000  0.0000  5 Au 3.07-3.11, 6 Cd 3.27-3.37
Cd  0.0000  0.2582  0.5000  4 Au 2.81-2.90
Cd  0.2582  0.0000  0.5000  4 Au 2.81-2.90
Cd  0.7418  0.7418  0.5000  4 Au 2.81-2.90
Au  0.0000  0.0000  0.0000  6 Cd 2.81, 3 Sm 3.11
Au  0.3333  0.6667  0.5000  3 Cd 2.90, 6 Sm 3.07
Au  0.6667  0.3333  0.5000  3 Cd 2.90, 6 Sm 3.07

final energy: -4.08 eV/atom
symmetry: P-62m

Number 1: volume 85 Å³ per cell, density of states at the Fermi level 1.02 states/eV per atom, total magnetization 0.00 Bohr magnetons per cell. Number 2: volume 203 Å³ per cell, density of states at the Fermi level 0.69 states/eV per atom, total magnetization 0.00 Bohr magnetons per cell.